1.
A relaxed LaScBr2 crystal, computed with GGA-PBE.

Geometry as extended XYZ:
```
4
Lattice="-7.794 4.849 4.227 -6.938 2.442 6.929 -5.090 5.657 6.649" Properties=species:S:1:pos:R:3 pbc="T T T"
Br -1.800 1.176 1.617
Br -18.022 11.771 16.188
Sc 0.000 0.000 0.000
La -9.911 6.474 8.903
```

Results
SG: R-3m
DOS(E_F) in states/eV per cell: 1.969
Calculated total energy in eV per cell: -18.68
Excess energy over the best structure of this formula in the dataset in eV/atom: 0.092

***

2.
A relaxed MnSiOs2 crystal, computed with GGA-PBE.

Geometry as extended XYZ:
```
4
Lattice="-3.980 2.469 -0.387 -2.142 -0.667 -4.130 1.724 -2.897 3.274" Properties=species:S:1:pos:R:3 pbc="T T T"
Mn -2.659 0.237 0.315
Si -3.061 0.901 -2.258
Os 0.000 0.000 0.000
Os -1.740 -1.332 -1.557
```

Results
SG: I-4m2
DOS(E_F) in states/eV per cell: 2.455
Calculated total energy in eV per cell: -37.18

***

3.
A relaxed Ce2ThZn2Au2 crystal, computed with GGA-PBE.

Geometry as extended XYZ:
```
7
Lattice="4.517 0.000 0.000 2.259 3.912 0.000 2.259 1.304 8.894" Properties=species:S:1:pos:R:3 pbc="T T T"
Zn 4.517 2.608 6.832
Ce 2.259 1.304 5.132
Au 6.776 3.912 7.026
Ce 6.776 3.912 3.763
Th 0.000 0.000 0.000
Zn 4.517 2.608 2.062
Au 2.259 1.304 1.868
```

Results
SG: R-3m
ΔE_f in eV/atom: -0.450
DOS(E_F) in states/eV per cell: 8.251
Calculated total energy in eV per cell: -31.54

***

4.
A relaxed Pr4Tl3Pb crystal, computed with GGA-PBE.

Geometry as extended XYZ:
```
8
Lattice="4.470 0.000 0.000 0.000 5.214 0.000 0.000 0.000 10.433" Properties=species:S:1:pos:R:3 pbc="T T T"
Tl 2.235 0.000 7.772
Pr 0.000 0.000 5.217
Tl 2.235 0.000 2.661
Tl 2.235 2.607 5.217
Pr 0.000 0.000 0.000
Pb 2.235 2.607 0.000
Pr 0.000 2.607 7.828
Pr 0.000 2.607 2.606
```

Results
SG: Pmmm
ΔE_f in eV/atom: -0.427
DOS(E_F) in states/eV per cell: 6.923
Calculated total energy in eV per cell: -33.34

***

5.
A relaxed PmSmDy2Mg crystal, computed with GGA-PBE.

Geometry as extended XYZ:
```
10
Lattice="-0.204 2.614 -4.217 -5.445 -1.044 2.540 0.914 9.488 5.836" Properties=species:S:1:pos:R:3 pbc="T T T"
Dy -3.892 1.986 -1.504
Mg -4.731 4.952 0.375
Mg -0.003 6.105 3.784
Sm -0.487 2.763 -1.188
Pm -2.234 8.508 2.458
Pm -2.501 2.549 1.701
Dy -3.409 5.386 3.503
Sm -4.247 8.295 5.346
Dy -1.326 5.672 0.656
Dy -0.843 9.071 5.663
```

Results
SG: C2/m
ΔE_f in eV/atom: 0.026
DOS(E_F) in states/eV per cell: 13.454
Calculated total energy in eV per cell: -40.27

***

6.
A relaxed InTe2As2 crystal, computed with GGA-PBE.

Geometry as extended XYZ:
```
5
Lattice="-3.310 1.919 -0.716 -1.261 -2.982 -2.162 -5.888 -4.116 5.606" Properties=species:S:1:pos:R:3 pbc="T T T"
As -4.717 -3.814 1.002
Te -3.032 -1.274 0.020
Te -7.428 -3.905 2.708
In 0.000 0.000 0.000
As -5.742 -1.364 1.725
```

Results
SG: I4/mmm
DOS(E_F) in states/eV per cell: 2.465
Calculated total energy in eV per cell: -17.37
Excess energy over the best structure of this formula in the dataset in eV/atom: 0.099

***

7.
A relaxed CePrTlIn crystal, computed with GGA-PBE.

Geometry as extended XYZ:
```
4
Lattice="4.551 0.000 0.000 0.000 5.070 0.000 0.000 0.000 5.070" Properties=species:S:1:pos:R:3 pbc="T T T"
In 0.000 2.535 2.535
Pr 2.276 0.000 2.535
Ce 2.276 2.535 0.000
Tl 0.000 0.000 0.000
```

Results
SG: Pmmm
ΔE_f in eV/atom: -0.345
DOS(E_F) in states/eV per cell: 9.449
Calculated total energy in eV per cell: -17.20
Excess energy over the best structure of this formula in the dataset in eV/atom: 0.000

***

8.
A relaxed Ac2Zn crystal, computed with GGA-PBE.

Geometry as extended XYZ:
```
3
Lattice="-0.686 -2.615 -2.888 0.459 -2.966 2.577 -6.496 2.975 1.553" Properties=species:S:1:pos:R:3 pbc="T T T"
Zn -0.113 -2.790 -0.156
Ac -4.861 -2.663 0.848
Ac -1.861 0.057 0.394
```

Results
SG: C2/m
ΔE_f in eV/atom: -0.160
DOS(E_F) in states/eV per cell: 3.225
Calculated total energy in eV per cell: -9.97
Excess energy over the best structure of this formula in the dataset in eV/atom: 0.002